A geometry-optimized Hg2PbW structure. Source: Alexandria via LeMat-Bulk, functional PBE-GGA.

Properties
- D(E_F): 0.4549 states/eV per atom
- DFT total energy: -3.661 eV/atom
- Total magnetization: 0.000 Bohr magnetons per cell
- Energy of formation: 0.65 eV per atom

Unit cell a=2.981 b=2.981 c=10.957 alpha=90.00 beta=90.00 gamma=90.00
Space group P4mm (No. 99)
Inequivalent atoms, fractional coordinates:
Hg  0.000  0.000  0.000
Hg  0.500  0.500  0.265
Pb  0.000  0.000  0.591
W  0.500  0.500  0.807